# GGA-PBE CaScMnW2, optimized geometry
data_CaScMnW2
_symmetry_space_group_name_H-M 'P 4/m m m'
_symmetry_Int_Tables_number 123
_symmetry_space_group_name_Hall '-P 4 2'
_cell_length_a 4.7687
_cell_length_b 4.7687
_cell_length_c 4.9906
_cell_angle_alpha 90.00
_cell_angle_beta 90.00
_cell_angle_gamma 90.00
loop_
_atom_site_label
_atom_site_type_symbol
_atom_site_fract_x
_atom_site_fract_y
_atom_site_fract_z
Ca1 Ca 0.0000 0.0000 0.0000
Sc1 Sc 0.5000 0.5000 0.5000
Mn1 Mn 0.5000 0.5000 0.0000
W1 W 0.0000 0.5000 0.5000
# DOS at the Fermi energy in states/eV/f.u.: 6.16
# E_tot in eV per cell: -34.591